Entry 1:
The following is a PBE calculation of a relaxed structure of Tb2Dy2Ho15, from Alexandria.

The space group is R-3m (No. 166, hexagonal axes) and the conventional cell measures 11.0404, 11.0404 and 17.5698 Å, with angles of 90.00, 90.00 and 120.00 degrees. The asymmetric unit holds Tb at (0.0000, 0.0000, 0.0961), Dy at (0.0000, 0.0000, 0.3223), Ho at (0.0000, 0.2999, 0.0000), Ho at (0.0000, 0.5000, 0.5000) and Ho at (0.0143, 0.5071, 0.1352).

As for the volume: 32.5 Å³ per atom. The value obtained for the size of the total moment is 0.00 μB per cell. For the formation energy, the calculation gives 5.59 eV per formula unit. The calculation puts the total energy at -4.29 eV per atom.

Entry 2:
The following is a PBE calculation of a relaxed structure of Rb4TeSe4, from Alexandria.

The space group is I4/m (No. 87) and the conventional cell measures 10.436, 10.436 and 6.883 Å, with angles of 90.00, 90.00 and 90.00 degrees. The asymmetric unit holds Rb at (0.088, 0.300, 0.000), Te at (0.000, 0.000, 0.500) and Se at (0.085, 0.251, 0.500).

As for the volume: 41.6 Å³ per atom. The formation energy from raw total energies comes out at -0.703 eV per atom. The value obtained for the size of the total moment is 1.29 μB per cell. The calculation puts the total energy at -3.03 eV per atom.

Entry 3:
The following is a PBE calculation of a relaxed structure of BaCoRe3, from Alexandria.

The space group is Pm-3m (No. 221) and the conventional cell measures 4.657, 4.657 and 4.657 Å, with angles of 90.00, 90.00 and 90.00 degrees. The asymmetric unit holds Ba at (0.000, 0.000, 0.000), Co at (0.500, 0.500, 0.500) and Re at (0.000, 0.500, 0.500).

As for the volume: 20.2 Å³ per atom. The value obtained for the size of the total moment is 1.41 μB per cell. For the formation energy, the calculation gives 8.45 eV per formula unit. Its distance to the lowest polymorph of the same formula is 0 meV/atom. The calculation puts the total energy at -7.58 eV per atom.

Entry 4:
The following is a PBE calculation of a relaxed structure of ZrBeAl, from Alexandria.

The space group is I4mm (No. 107) and the conventional cell measures 2.995, 2.995 and 10.557 Å, with angles of 90.00, 90.00 and 90.00 degrees. The asymmetric unit holds Zr at (0.000, 0.000, 0.000), Be at (0.000, 0.000, 0.672) and Al at (0.000, 0.000, 0.300).

As for the volume: 15.8 Å³ per atom. The value obtained for the size of the total moment is 0.00 μB per cell. For the formation energy, the calculation gives -0.43 eV per formula unit. Its distance to the lowest polymorph of the same formula is 242 meV/atom. The calculation puts the total energy at -5.48 eV per atom.

Entry 5:
The following is a PBE calculation of a relaxed structure of KSc2Ag, from Alexandria.

The space group is R-3m (No. 166, hexagonal axes) and the conventional cell measures 3.3477, 3.3477 and 34.3457 Å, with angles of 90.00, 90.00 and 120.00 degrees. The asymmetric unit holds K at (0.0000, 0.0000, 0.0000), Sc at (0.0000, 0.0000, 0.1018) and Ag at (0.0000, 0.0000, 0.5000).

As for the volume: 27.8 Å³ per atom. The value obtained for the size of the total moment is 0.00 μB per cell. For the formation energy, the calculation gives 1.39 eV per formula unit. The calculation puts the total energy at -3.81 eV per atom.

Entry 6:
The following is a PBE calculation of a relaxed structure of CeSm2DyS6, from Alexandria.

The space group is R3 (No. 146, hexagonal axes) and the conventional cell measures 7.0802, 7.0802 and 18.7571 Å, with angles of 90.00, 90.00 and 120.00 degrees. The asymmetric unit holds Ce at (0.0000, 0.0000, 0.0000), Sm at (0.0000, 0.0000, 0.2923), Sm at (0.0000, 0.0000, 0.7950), Dy at (0.0000, 0.0000, 0.4964), S at (0.0048, 0.7099, 0.3972) and S at (0.0361, 0.3602, 0.5630).

As for the volume: 27.1 Å³ per atom. The formation energy from raw total energies comes out at -2.007 eV per atom. The value obtained for the size of the total moment is 3.06 μB per cell. The calculation puts the total energy at -6.48 eV per atom.

Copy entry 5 word for word.
The following is a PBE calculation of a relaxed structure of KSc2Ag, from Alexandria.

The space group is R-3m (No. 166, hexagonal axes) and the conventional cell measures 3.3477, 3.3477 and 34.3457 Å, with angles of 90.00, 90.00 and 120.00 degrees. The asymmetric unit holds K at (0.0000, 0.0000, 0.0000), Sc at (0.0000, 0.0000, 0.1018) and Ag at (0.0000, 0.0000, 0.5000).

As for the volume: 27.8 Å³ per atom. The value obtained for the size of the total moment is 0.00 μB per cell. For the formation energy, the calculation gives 1.39 eV per formula unit. The calculation puts the total energy at -3.81 eV per atom.

Repeat the second record exactly.
The following is a PBE calculation of a relaxed structure of Rb4TeSe4, from Alexandria.

The space group is I4/m (No. 87) and the conventional cell measures 10.436, 10.436 and 6.883 Å, with angles of 90.00, 90.00 and 90.00 degrees. The asymmetric unit holds Rb at (0.088, 0.300, 0.000), Te at (0.000, 0.000, 0.500) and Se at (0.085, 0.251, 0.500).

As for the volume: 41.6 Å³ per atom. The formation energy from raw total energies comes out at -0.703 eV per atom. The value obtained for the size of the total moment is 1.29 μB per cell. The calculation puts the total energy at -3.03 eV per atom.